Density functional theory data (GGA-PBE) for Pm2PaTl2S6 after structural relaxation.

a b c (Å): 7.1013 7.1013 7.9301
angles (deg): 98.74 98.74 119.84
Closest atoms and distances in Å follow each position.
Positions (direct):
Pm1 0.3338 0.6662 0.5000  6 S 2.82-2.85
Pm2 0.6662 0.3338 0.5000  6 S 2.82-2.85
Pa1 0.0000 0.0000 0.5000  6 S 2.72
Tl1 0.8315 0.1685 0.0000  6 S 3.26-3.34
Tl2 0.1685 0.8315 0.0000  6 S 3.26-3.34
S1 0.7491 0.7491 0.6986  1 Pa 2.72, 2 Pm 2.85
S2 0.0639 0.3868 0.6961  1 Pa 2.72, 2 Pm 2.82-2.84
S3 0.2509 0.2509 0.3014  1 Pa 2.72, 2 Pm 2.85
S4 0.3868 0.0639 0.6961  1 Pa 2.72, 2 Pm 2.82-2.84
S5 0.9361 0.6132 0.3039  1 Pa 2.72, 2 Pm 2.82-2.84
S6 0.6132 0.9361 0.3039  1 Pa 2.72, 2 Pm 2.82-2.84

- E_tot: -5.911 eV per atom
- Formation energy without anion corrections: -1.50 eV per atom
- Symmetry: C2/m